# InH6C3O9 | the Alexandria database | GGA-PBEsol | optimized geometry
data_InH6C3O9
_symmetry_space_group_name_H-M 'P 1 21/c 1'
_symmetry_Int_Tables_number 14
_cell_length_a 10.102
_cell_length_b 6.821
_cell_length_c 10.982
_cell_angle_alpha 90.00
_cell_angle_beta 97.42
_cell_angle_gamma 90.00
loop_
_symmetry_equiv_pos_as_xyz
'x,y,z'
'-x,-y,-z'
'-x,y+1/2,-z+1/2'
'x,-y+1/2,z+1/2'
loop_
_atom_site_label
_atom_site_fract_x
_atom_site_fract_y
_atom_site_fract_z
_atom_site_occupancy
In1 0.235 0.150 0.029 1
H1 0.098 0.690 0.548 1
H2 0.142 0.607 0.686 1
H3 0.232 0.512 0.924 1
H4 0.386 0.089 0.424 1
H5 0.415 0.571 0.095 1
H6 0.492 0.141 0.280 1
C1 0.002 0.160 0.647 1
C2 0.123 0.171 0.749 1
C3 0.471 0.546 0.439 1
O1 0.025 0.217 0.541 1
O2 0.102 0.113 0.853 1
O3 0.108 0.599 0.827 1
O4 0.174 0.623 0.602 1
O5 0.230 0.241 0.720 1
O6 0.305 0.064 0.476 1
O7 0.347 0.535 0.408 1
O8 0.447 0.128 0.124 1
O9 0.497 0.643 0.128 1
# Crystal system: monoclinic
# Total energy, Ha/atom: -0.2342
# D(E_F), states/eV per cell: 0.0